# MgSc2Hg GGA-PBE relaxed
# M_tot (μB per formula unit): 0.2
# Energy of formation from the pure elements (eV per atom): -0.2586
# ρ (Mg/m³): 5.9
data_MgSc2Hg
_chemical_formula_sum 'Mg2 Sc4 Hg2'
_cell_length_a 6.791
_cell_length_b 6.801
_cell_length_c 3.808
_cell_angle_alpha 90.00
_cell_angle_beta 90.00
_cell_angle_gamma 90.00
_symmetry_space_group_name_H-M 'C m m m'
_symmetry_Int_Tables_number 65
_symmetry_space_group_name_Hall '-C 2 2'
loop_
_atom_site_label
_atom_site_type_symbol
_atom_site_fract_x
_atom_site_fract_y
_atom_site_fract_z
Mg1 Mg 0.000 0.000 0.000
Sc1 Sc 0.250 0.250 0.500
Hg1 Hg 0.000 0.500 0.000

=====

# Mg2Sc3Hg6 GGA-PBE relaxed
# M_tot (μB per formula unit): 0.0
# Energy of formation from the pure elements (eV per atom): -0.0739
# ρ (Mg/m³): 7.8
data_Mg2Sc3Hg6
_chemical_formula_sum 'Mg4 Sc6 Hg12'
_cell_length_a 4.898
_cell_length_b 4.898
_cell_length_c 24.526
_cell_angle_alpha 90.00
_cell_angle_beta 90.00
_cell_angle_gamma 90.00
_symmetry_space_group_name_H-M 'I 4/m m m'
_symmetry_Int_Tables_number 139
_symmetry_space_group_name_Hall '-I 4 2'
loop_
_atom_site_label
_atom_site_type_symbol
_atom_site_fract_x
_atom_site_fract_y
_atom_site_fract_z
Mg1 Mg 0.000 0.000 0.130
Sc1 Sc 0.000 0.000 0.366
Sc2 Sc 0.000 0.000 0.500
Hg1 Hg 0.000 0.000 0.247
Hg2 Hg 0.000 0.500 0.067

=====

# Mg2ScHg4 GGA-PBE relaxed
# M_tot (μB per formula unit): 0.0
# Energy of formation from the pure elements (eV per atom): -0.2348
# ρ (Mg/m³): 9.2
data_Mg2ScHg4
_chemical_formula_sum 'Mg6 Sc3 Hg12'
_cell_length_a 4.8498
_cell_length_b 4.8498
_cell_length_c 23.8137
_cell_angle_alpha 90.00
_cell_angle_beta 90.00
_cell_angle_gamma 120.00
_symmetry_space_group_name_H-M 'R -3 m'
_symmetry_Int_Tables_number 166
_symmetry_space_group_name_Hall '-R 3 2"'
loop_
_atom_site_label
_atom_site_type_symbol
_atom_site_fract_x
_atom_site_fract_y
_atom_site_fract_z
Mg1 Mg 0.0000 0.0000 0.2502
Sc1 Sc 0.0000 0.0000 0.0000
Hg1 Hg 0.0000 0.0000 0.1278
Hg2 Hg 0.0000 0.0000 0.3799